Here is an optimized crystal structure of Sm4Y4Th from the Alexandria database. Energies are from GGA-PBE.

The structure in POSCAR format:
```
Sm4Y4Th
1.0
5.0915 0.0000 0.0000
2.5457 7.6358 0.0000
2.5457 0.0000 7.6358
Sm Y Th
4 4 1
Cartesian
2.5457 5.1109 2.5240
5.0915 2.5240 2.5249
5.0915 5.1118 5.1109
7.6372 2.5249 5.1118
7.6372 7.6353 5.1331
5.0915 2.5027 7.6353
5.0915 5.1331 0.0005
2.5457 0.0005 2.5027
0.0000 0.0000 0.0000
```

Results
total moment: 0.000 Bohr magnetons per cell
E_form: 0.029 eV per atom
symmetry: I4/mmm (139)
raw total energy: -5.766 eV per atom

=====

Here is an optimized crystal structure of Sm12Y7Th from the Alexandria database. Energies are from GGA-PBE.

The structure in POSCAR format:
```
Sm12Y7Th
1.0
8.5624 1.0765 1.6157
-1.3469 8.5241 1.6157
-1.3469 -1.7921 8.4888
Sm Y Th
12 7 1
Cartesian
-0.2232 5.8322 3.6132
6.1266 4.4898 5.4077
-0.2579 3.3186 6.3125
6.0919 1.9763 8.1069
4.7614 7.7203 4.9463
2.6092 2.2430 8.6659
0.2044 5.0160 9.0298
5.6643 2.7925 2.6904
4.4397 1.0167 5.4939
1.1073 0.0882 6.7739
1.4290 6.7918 6.2263
3.2595 5.5655 3.0543
0.7160 3.3040 1.3408
-0.2329 0.6780 3.5655
2.9343 3.9042 5.8601
5.1527 4.5045 10.3794
6.1016 7.1305 8.1546
2.9746 0.6186 1.9990
2.8941 7.1899 9.7212
0.0000 0.0000 0.0000
```

Results
total moment: 0.001 Bohr magnetons per cell
E_form: 0.218 eV per atom
symmetry: R-3 (148)
raw total energy: -5.247 eV per atom
energy relative to the lowest polymorph listed for this composition: 0 meV per atom

=====

Here is an optimized crystal structure of Sm6YTh4 from the Alexandria database. Energies are from GGA-PBE.

The structure in POSCAR format:
```
Sm6YTh4
1.0
5.8572 0.0000 -0.8542
-0.0732 3.4402 -0.5018
-0.3204 0.9068 18.3102
Th Sm Y
4 6 1
Cartesian
4.5266 3.3898 10.5297
2.3496 2.4001 16.1099
3.1140 1.9469 0.8443
0.9370 0.9571 6.4244
5.0110 2.1272 13.8512
3.6037 0.6896 4.2019
1.3407 3.1269 9.1923
4.1229 1.2200 7.7618
0.4526 2.2198 3.1030
1.8599 3.6573 12.7523
0.0000 0.0000 0.0000
```

Results
total moment: 0.000 Bohr magnetons per cell
E_form: 0.169 eV per atom
symmetry: Immm (71)
raw total energy: -5.691 eV per atom

=====

Here is an optimized crystal structure of Sm7YTh3 from the Alexandria database. Energies are from GGA-PBE.

The structure in POSCAR format:
```
Sm7YTh3
1.0
6.3420 0.0278 -0.6041
-0.6527 7.7302 0.4332
0.0763 0.6662 7.7392
Sm Th Y
7 3 1
Cartesian
1.3573 5.0804 7.2651
-0.2882 4.1982 4.0862
1.1989 1.9434 1.7590
4.6638 0.8674 2.8643
1.1018 7.5567 4.7039
4.4083 3.3437 0.3031
4.5667 6.4807 5.8092
5.8155 6.5349 1.0940
3.1710 0.0139 -0.3021
-0.0499 1.8892 6.4743
2.8828 4.2121 3.7841
```

Results
total moment: 0.000 Bohr magnetons per cell
E_form: 0.270 eV per atom
symmetry: C2/m (12)
raw total energy: -5.344 eV per atom
energy relative to the lowest polymorph listed for this composition: 54 meV per atom

=====

Here is an optimized crystal structure of Sm4Y8Th from the Alexandria database. Energies are from GGA-PBE.

The structure in POSCAR format:
```
Sm4Y8Th
1.0
-5.9843 -8.2410 4.2709
1.8368 0.4309 -10.9162
7.1221 2.8755 1.3077
Y Sm Th
8 4 1
Cartesian
6.7927 2.5041 -7.2986
0.2623 -3.1474 -5.7151
3.1184 1.0202 -7.9752
2.7124 -1.7872 0.3775
-0.7297 -3.1768 -0.2548
-0.1437 -5.9548 2.6376
-3.8180 -7.4387 1.9610
3.7044 -1.7578 -5.0829
-2.9921 -4.1205 2.1354
0.9184 0.2155 -5.4581
0.0000 0.0000 0.0000
-2.0737 -3.9050 -3.3227
4.4795 1.6532 -4.8042
```

Results
total moment: 2.163 Bohr magnetons per cell
E_form: 0.513 eV per atom
symmetry: P2/m (10)
raw total energy: -5.487 eV per atom

=====

Here is an optimized crystal structure of SmY2Th from the Alexandria database. Energies are from GGA-PBE.

The structure in POSCAR format:
```
SmY2Th
1.0
3.2861 0.4197 -1.2580
0.6178 6.7281 -1.1313
0.5465 0.8342 11.6980
Sm Th Y
2 2 4
Cartesian
2.6343 3.0230 8.0922
3.8950 6.3831 7.4988
1.8690 5.7810 2.0120
0.8288 2.3702 3.1390
2.8679 4.1622 -0.9213
0.3871 0.5492 6.3775
3.1150 4.4093 4.8143
1.6922 0.8745 -0.0953
```

Results
total moment: 0.000 Bohr magnetons per cell
E_form: 0.040 eV per atom
symmetry: P-1 (2)
raw total energy: -6.227 eV per atom
energy relative to the lowest polymorph listed for this composition: 27 meV per atom